Record 1
Below is crystalline CsGeAu3 at its relaxed geometry, with properties calculated at the GGA-PBE level.

Values from the calculation:
Total magnetization   0.000 μB per formula unit
Raw total energy   -3.265 eV per atom
SG   No. 31

Lattice parameters (Å, degrees): 7.4367 5.1037 7.0535 90.00 90.00 90.00
Closest atoms and distances in Å follow each position.
Atoms (fractional coordinates):
Au (0.4624, 0.1126, 0.7993)  2 Ge 2.55-2.76
Au (0.6674, 0.7077, 0.5936)  2 Ge 2.56-2.74
Au (0.1673, 0.6451, 0.5049)  2 Ge 2.56-2.74
Au (0.1674, 0.6451, 0.0936)  2 Ge 2.56-2.74
Au (0.6674, 0.7077, 0.0049)  2 Ge 2.56-2.74
Au (0.9624, 0.2401, 0.2993)  2 Ge 2.55-2.75
Cs (0.4604, 0.1871, 0.2993)  12 Au 3.51-3.81, 1 Ge 3.71
Cs (0.9604, 0.1657, 0.7993)  12 Au 3.51-3.81, 1 Ge 3.71
Ge (0.3643, 0.5921, 0.7992)  6 Au 2.55-2.76
Ge (0.8643, 0.7607, 0.2992)  6 Au 2.55-2.75

=====

Record 2
Below is crystalline Cs2Ge2Au at its relaxed geometry, with properties calculated at the GGA-PBE level.

Values from the calculation:
Total magnetization   0.000 μB per formula unit
Raw total energy   -2.855 eV per atom
SG   No. 139

Lattice parameters (Å, degrees): 3.9273 3.9273 11.6622 80.31 80.31 90.00
Closest atoms and distances in Å follow each position.
Atoms (fractional coordinates):
Cs (0.6026, 0.6026, 0.7948)  4 Au 3.62, 4 Ge 3.87, 4 Cs 3.93
Cs (0.3974, 0.3974, 0.2052)  4 Au 3.62, 4 Ge 3.87, 4 Cs 3.93
Ge (0.2500, 0.7500, 0.5000)  4 Ge 2.78
Ge (0.7500, 0.2500, 0.5000)  4 Ge 2.78
Au (0.0000, 0.0000, 0.0000)  8 Cs 3.62, 4 Au 3.93

=====

Record 3
Below is crystalline CsGe3Au3 at its relaxed geometry, with properties calculated at the GGA-PBE level.

Values from the calculation:
Total magnetization   0.000 μB per formula unit
Raw total energy   -3.564 eV per atom
SG   No. 223

Lattice parameters (Å, degrees): 7.2989 7.2989 7.2989 90.00 90.00 90.00
Closest atoms and distances in Å follow each position.
Atoms (fractional coordinates):
Au (0.5000, 0.2500, 0.0000)  4 Ge 2.58
Au (0.0000, 0.5000, 0.2500)  4 Ge 2.58
Au (0.5000, 0.7500, 0.0000)  4 Ge 2.58
Au (0.2500, 0.0000, 0.5000)  4 Ge 2.58
Au (0.7500, 0.0000, 0.5000)  4 Ge 2.58
Au (0.0000, 0.5000, 0.7500)  4 Ge 2.58
Cs (0.0000, 0.0000, 0.0000)  12 Au 4.08, 12 Ge 4.08
Cs (0.5000, 0.5000, 0.5000)  12 Ge 4.08, 12 Au 4.08
Ge (0.0000, 0.2500, 0.5000)  4 Au 2.58
Ge (0.7500, 0.5000, 0.0000)  4 Au 2.58
Ge (0.5000, 0.0000, 0.2500)  4 Au 2.58
Ge (0.0000, 0.7500, 0.5000)  4 Au 2.58
Ge (0.2500, 0.5000, 0.0000)  4 Au 2.58
Ge (0.5000, 0.0000, 0.7500)  4 Au 2.58

=====

Record 4
Below is crystalline CsGe4Au2 at its relaxed geometry, with properties calculated at the GGA-PBE level.

Values from the calculation:
Total magnetization   0.000 μB per formula unit
Raw total energy   -3.680 eV per atom
SG   No. 65

Lattice parameters (Å, degrees): 4.8896 4.8726 7.4300 109.14 90.00 90.00
Closest atoms and distances in Å follow each position.
Atoms (fractional coordinates):
Ge (0.5000, 0.8081, 0.6162)  3 Au 2.76-2.92, 4 Ge 2.84-2.93
Ge (0.0000, 0.2950, 0.5900)  4 Ge 2.74-2.84, 2 Au 2.85
Ge (0.0000, 0.7050, 0.4100)  4 Ge 2.74-2.84, 2 Au 2.85
Ge (0.5000, 0.1919, 0.3838)  3 Au 2.76-2.92, 4 Ge 2.84-2.93
Au (0.5000, 0.4000, 0.8001)  5 Ge 2.76-2.92, 1 Au 2.81
Au (0.5000, 0.6000, 0.1999)  5 Ge 2.76-2.92, 1 Au 2.81
Cs (0.0000, 0.0000, 0.0000)  8 Ge 3.64-3.77, 8 Au 3.73

=====

Record 5
Below is crystalline CsGeAu3 at its relaxed geometry, with properties calculated at the GGA-PBE level.

Values from the calculation:
Total magnetization   0.000 μB per formula unit
Raw total energy   -1.589 eV per atom
SG   No. 221

Lattice parameters (Å, degrees): 5.9505 5.9505 5.9505 90.00 90.00 90.00
Closest atoms and distances in Å follow each position.
Atoms (fractional coordinates):
Cs (0.0000, 0.0000, 0.0000)  6 Au 2.98
Au (0.0000, 0.0000, 0.5000)  2 Cs 2.98
Au (0.5000, 0.0000, 0.0000)  2 Cs 2.98
Au (0.0000, 0.5000, 0.0000)  2 Cs 2.98
Ge (0.5000, 0.5000, 0.5000)  12 Au 4.21

=====

Record 6
Below is crystalline CsGe3Au at its relaxed geometry, with properties calculated at the GGA-PBE level.

Values from the calculation:
Total magnetization   0.000 μB per formula unit
Raw total energy   -1.601 eV per atom
SG   No. 221

Lattice parameters (Å, degrees): 5.7151 5.7151 5.7151 90.00 90.00 90.00
Closest atoms and distances in Å follow each position.
Atoms (fractional coordinates):
Ge (0.0000, 0.5000, 0.0000)  2 Cs 2.86
Ge (0.0000, 0.0000, 0.5000)  2 Cs 2.86
Ge (0.5000, 0.0000, 0.0000)  2 Cs 2.86
Cs (0.0000, 0.0000, 0.0000)  6 Ge 2.86
Au (0.5000, 0.5000, 0.5000)  12 Ge 4.04

=====

Record 7
Below is crystalline CsGe8Au2 at its relaxed geometry, with properties calculated at the GGA-PBE level.

Values from the calculation:
Total magnetization   0.000 μB per formula unit
Raw total energy   -3.971 eV per atom
SG   No. 12

Lattice parameters (Å, degrees): 4.0265 13.7403 11.7156 27.78 80.08 81.54
Closest atoms and distances in Å follow each position.
Atoms (fractional coordinates):
Au (0.2795, 0.3893, 0.0522)  4 Ge 2.53-2.71
Au (0.7205, 0.6107, 0.9478)  4 Ge 2.53-2.71
Ge (0.1689, 0.8115, 0.8493)  3 Ge 2.51-2.59, 2 Au 2.70-2.71
Ge (0.3937, 0.3241, 0.8899)  3 Ge 2.51-2.59, 1 Au 2.69
Ge (0.3816, 0.7095, 0.5292)  3 Ge 2.51-2.52
Ge (0.6184, 0.2905, 0.4708)  3 Ge 2.51-2.52
Ge (0.8219, 0.7961, 0.5615)  3 Ge 2.51-2.52, 1 Au 2.53
Ge (0.1781, 0.2039, 0.4385)  3 Ge 2.51-2.52, 1 Au 2.53
Ge (0.8311, 0.1885, 0.1507)  3 Ge 2.51-2.59, 2 Au 2.70-2.71
Ge (0.6063, 0.6759, 0.1101)  3 Ge 2.51-2.59, 1 Au 2.69
Cs (0.0000, 0.0000, 0.0000)  12 Ge 3.79-4.24, 2 Cs 4.03

=====

Record 8
Below is crystalline Cs2Ge4Au5 at its relaxed geometry, with properties calculated at the GGA-PBE level.

Values from the calculation:
Total magnetization   0.000 μB per formula unit
Raw total energy   -3.520 eV per atom
SG   No. 12

Lattice parameters (Å, degrees): 7.3951 6.5623 8.9641 72.08 65.64 55.70
Closest atoms and distances in Å follow each position.
Atoms (fractional coordinates):
Ge (0.6070, 0.9646, 0.8214)  1 Ge 2.58, 4 Au 2.59-2.81
Ge (0.8504, 0.4909, 0.8082)  3 Au 2.51-2.52, 1 Ge 2.58
Ge (0.1496, 0.5091, 0.1918)  3 Au 2.51-2.52, 1 Ge 2.58
Ge (0.3930, 0.0354, 0.1786)  1 Ge 2.58, 4 Au 2.59-2.81
Au (0.6215, 0.2726, 0.9341)  3 Ge 2.52-2.81, 1 Au 2.81
Au (0.3785, 0.7274, 0.0659)  3 Ge 2.52-2.81, 1 Au 2.81
Au (0.1718, 0.2726, 0.9341)  3 Ge 2.52-2.81, 1 Au 2.81
Au (0.0000, 0.5000, 0.5000)  2 Ge 2.51
Au (0.8282, 0.7274, 0.0659)  3 Ge 2.52-2.81, 1 Au 2.81
Cs (0.7407, 0.1834, 0.3351)  7 Au 3.81-4.02, 6 Ge 3.95-4.21
Cs (0.2593, 0.8166, 0.6649)  7 Au 3.81-4.02, 6 Ge 3.95-4.21

=====

Record 9
Below is crystalline Cs12Ge3Au5 at its relaxed geometry, with properties calculated at the GGA-PBE level.

Values from the calculation:
Total magnetization   4.999 μB per formula unit
Raw total energy   -2.047 eV per atom
SG   No. 230

Lattice parameters (Å, degrees): 18.7145 18.7145 18.7145 109.47 109.47 109.47
Closest atoms and distances in Å follow each position.
Atoms (fractional coordinates):
Cs (0.3283, 0.7782, 0.4145)  2 Au 3.44-3.66
Cs (0.8283, 0.9138, 0.0501)  2 Au 3.44-3.66
Cs (0.4499, 0.7782, 0.8637)  2 Au 3.44-3.66
Cs (0.4138, 0.0501, 0.3283)  2 Au 3.44-3.66
Cs (0.7782, 0.4499, 0.3637)  2 Au 3.44-3.66
Cs (0.6717, 0.4499, 0.5862)  2 Au 3.44-3.66
Cs (0.3283, 0.5501, 0.4138)  2 Au 3.44-3.66
Cs (0.5862, 0.9499, 0.6717)  2 Au 3.44-3.66
Cs (0.6717, 0.2218, 0.5855)  2 Au 3.44-3.66
Cs (0.0501, 0.4138, 0.8283)  2 Au 3.44-3.66
Cs (0.7782, 0.3283, 0.9145)  2 Au 3.44-3.66
Cs (0.9138, 0.8283, 0.5501)  2 Au 3.44-3.66
Cs (0.4145, 0.1363, 0.5862)  2 Au 3.44-3.66
Cs (0.0862, 0.9145, 0.1363)  2 Au 3.44-3.66
Cs (0.1363, 0.7218, 0.5501)  2 Au 3.44-3.66
Cs (0.5862, 0.6363, 0.4145)  2 Au 3.44-3.66
Cs (0.9145, 0.8283, 0.7782)  2 Au 3.44-3.66
Cs (0.2782, 0.8637, 0.9499)  2 Au 3.44-3.66
Cs (0.9138, 0.0855, 0.8637)  2 Au 3.44-3.66
Cs (0.6363, 0.0501, 0.2218)  2 Au 3.44-3.66
Cs (0.4499, 0.6717, 0.0862)  2 Au 3.44-3.66
Cs (0.4138, 0.3637, 0.5855)  2 Au 3.44-3.66
Cs (0.7218, 0.1363, 0.0501)  2 Au 3.44-3.66
Cs (0.0862, 0.1717, 0.4499)  2 Au 3.44-3.66
Cs (0.6363, 0.5862, 0.9145)  2 Au 3.44-3.66
Cs (0.5501, 0.2218, 0.1363)  2 Au 3.44-3.66
Cs (0.9145, 0.0862, 0.6363)  2 Au 3.44-3.66
Cs (0.4145, 0.2782, 0.3283)  2 Au 3.44-3.66
Cs (0.5855, 0.7218, 0.6717)  2 Au 3.44-3.66
Cs (0.8637, 0.2782, 0.4499)  2 Au 3.44-3.66
Cs (0.1363, 0.4145, 0.0862)  2 Au 3.44-3.66
Cs (0.2782, 0.4145, 0.8283)  2 Au 3.44-3.66
Cs (0.3637, 0.4138, 0.0855)  2 Au 3.44-3.66
Cs (0.2218, 0.5501, 0.6363)  2 Au 3.44-3.66
Cs (0.7218, 0.5855, 0.1717)  2 Au 3.44-3.66
Cs (0.9499, 0.3637, 0.2782)  2 Au 3.44-3.66
Cs (0.8283, 0.9145, 0.2782)  2 Au 3.44-3.66
Cs (0.0501, 0.6363, 0.7218)  2 Au 3.44-3.66
Cs (0.0855, 0.9138, 0.3637)  2 Au 3.44-3.66
Cs (0.0855, 0.1717, 0.2218)  2 Au 3.44-3.66
Cs (0.3637, 0.9499, 0.7782)  2 Au 3.44-3.66
Cs (0.8637, 0.5855, 0.9138)  2 Au 3.44-3.66
Cs (0.9499, 0.5862, 0.1717)  2 Au 3.44-3.66
Cs (0.1717, 0.0855, 0.7218)  2 Au 3.44-3.66
Cs (0.1717, 0.0862, 0.9499)  2 Au 3.44-3.66
Cs (0.5855, 0.8637, 0.4138)  2 Au 3.44-3.66
Cs (0.2218, 0.6717, 0.0855)  2 Au 3.44-3.66
Cs (0.5501, 0.3283, 0.9138)  2 Au 3.44-3.66
Ge (0.8750, 0.1250, 0.2500)  8 Cs 3.99-4.00
Ge (0.2500, 0.1250, 0.3750)  8 Cs 3.99-4.00
Ge (0.3750, 0.7500, 0.6250)  8 Cs 3.99-4.00
Ge (0.6250, 0.3750, 0.7500)  8 Cs 3.99-4.00
Ge (0.1250, 0.2500, 0.8750)  8 Cs 3.99-4.00
Ge (0.2500, 0.6250, 0.8750)  8 Cs 3.99-4.00
Ge (0.7500, 0.8750, 0.6250)  8 Cs 3.99-4.00
Ge (0.7500, 0.3750, 0.1250)  8 Cs 3.99-4.00
Ge (0.6250, 0.2500, 0.3750)  8 Cs 3.99-4.00
Ge (0.3750, 0.6250, 0.2500)  8 Cs 3.99-4.00
Ge (0.8750, 0.7500, 0.1250)  8 Cs 3.99-4.00
Ge (0.1250, 0.8750, 0.7500)  8 Cs 3.99-4.00
Au (0.1250, 0.7500, 0.3750)  4 Cs 3.44
Au (0.0000, 0.0000, 0.0000)  6 Cs 3.66
Au (0.2500, 0.3750, 0.6250)  4 Cs 3.44
Au (0.7500, 0.1250, 0.8750)  4 Cs 3.44
Au (0.3750, 0.1250, 0.7500)  4 Cs 3.44
Au (0.2500, 0.8750, 0.1250)  4 Cs 3.44
Au (0.5000, 0.5000, 0.0000)  6 Cs 3.66
Au (0.0000, 0.0000, 0.5000)  6 Cs 3.66
Au (0.5000, 0.0000, 0.5000)  6 Cs 3.66
Au (0.3750, 0.2500, 0.1250)  4 Cs 3.44
Au (0.6250, 0.7500, 0.8750)  4 Cs 3.44
Au (0.8750, 0.2500, 0.6250)  4 Cs 3.44
Au (0.0000, 0.5000, 0.0000)  6 Cs 3.66
Au (0.8750, 0.6250, 0.7500)  4 Cs 3.44
Au (0.1250, 0.3750, 0.2500)  4 Cs 3.44
Au (0.5000, 0.5000, 0.5000)  6 Cs 3.66
Au (0.5000, 0.0000, 0.0000)  6 Cs 3.66
Au (0.7500, 0.6250, 0.3750)  4 Cs 3.44
Au (0.6250, 0.8750, 0.2500)  4 Cs 3.44
Au (0.0000, 0.5000, 0.5000)  6 Cs 3.66

=====

What did the second record say?
Below is crystalline Cs2Ge2Au at its relaxed geometry, with properties calculated at the GGA-PBE level.

Values from the calculation:
Total magnetization   0.000 μB per formula unit
Raw total energy   -2.855 eV per atom
SG   No. 139

Lattice parameters (Å, degrees): 3.9273 3.9273 11.6622 80.31 80.31 90.00
Closest atoms and distances in Å follow each position.
Atoms (fractional coordinates):
Cs (0.6026, 0.6026, 0.7948)  4 Au 3.62, 4 Ge 3.87, 4 Cs 3.93
Cs (0.3974, 0.3974, 0.2052)  4 Au 3.62, 4 Ge 3.87, 4 Cs 3.93
Ge (0.2500, 0.7500, 0.5000)  4 Ge 2.78
Ge (0.7500, 0.2500, 0.5000)  4 Ge 2.78
Au (0.0000, 0.0000, 0.0000)  8 Cs 3.62, 4 Au 3.93

=====

Which value of raw total energy does entry 2 give?
-2.855 eV per atom

=====

raw total energy of number 8 (Cs2Ge4Au5)?
-3.520 eV per atom

=====

What did the fourth record say?
Below is crystalline CsGe4Au2 at its relaxed geometry, with properties calculated at the GGA-PBE level.

Values from the calculation:
Total magnetization   0.000 μB per formula unit
Raw total energy   -3.680 eV per atom
SG   No. 65

Lattice parameters (Å, degrees): 4.8896 4.8726 7.4300 109.14 90.00 90.00
Closest atoms and distances in Å follow each position.
Atoms (fractional coordinates):
Ge (0.5000, 0.8081, 0.6162)  3 Au 2.76-2.92, 4 Ge 2.84-2.93
Ge (0.0000, 0.2950, 0.5900)  4 Ge 2.74-2.84, 2 Au 2.85
Ge (0.0000, 0.7050, 0.4100)  4 Ge 2.74-2.84, 2 Au 2.85
Ge (0.5000, 0.1919, 0.3838)  3 Au 2.76-2.92, 4 Ge 2.84-2.93
Au (0.5000, 0.4000, 0.8001)  5 Ge 2.76-2.92, 1 Au 2.81
Au (0.5000, 0.6000, 0.1999)  5 Ge 2.76-2.92, 1 Au 2.81
Cs (0.0000, 0.0000, 0.0000)  8 Ge 3.64-3.77, 8 Au 3.73